1.
The following is a GGA-PBE calculation of a relaxed CeNdPtSe crystal, from the Alexandria database.

Total DFT energy (no corrections) = -25.8 eV per formula unit
SG = R3m
Total moment = 0.9 Bohr magnetons per cell

Cell: 4.120 4.120 7.674 Å, 74.43 74.43 60.00°
Each line ends with the local moment (μB).
Fractional positions:
Ce1 0.994 0.994 0.019  0.67
Se1 0.749 0.749 0.754  -0.01
Nd1 0.505 0.505 0.485  0.03
Pt1 0.253 0.253 0.242  -0.01

***

2.
The following is a GGA-PBE calculation of a relaxed Mn2ReTc crystal, from the Alexandria database.

SG = P4mm
Total moment = 0.0 Bohr magnetons per cell
Formation energy from the elements = 0.11 eV per atom

Cell: 2.933 2.933 6.021 Å, 90.00 90.00 90.00°
Fractional positions:
Mn1 0.000 0.000 0.047
Mn2 0.500 0.500 0.204
Re1 0.000 0.000 0.488
Tc1 0.500 0.500 0.762

***

3.
The following is a GGA-PBE calculation of a relaxed PmTmGaIr crystal, from the Alexandria database.

Relative energy among the computed polymorphs = 84 meV per atom
SG = F-43m
Total moment = 0.0 Bohr magnetons per cell
Formation energy from the elements = -0.63 eV per atom

Cell: 4.992 4.992 4.992 Å, 60.00 60.00 60.00°
Fractional positions:
Ir1 0.250 0.250 0.250
Pm1 0.000 0.000 0.000
Ga1 0.750 0.750 0.750
Tm1 0.500 0.500 0.500

***

4.
The following is a GGA-PBE calculation of a relaxed Pa2MnNi3 crystal, from the Alexandria database.

SG = R-3m
Total moment = 0.0 Bohr magnetons per cell
Formation energy from the elements = -0.31 eV per atom

Cell: 4.912 4.912 5.155 Å, 90.03 118.43 119.98°
Fractional positions:
Ni1 0.500 0.000 0.500
Ni2 0.500 0.500 0.500
Ni3 0.000 0.000 0.500
Pa1 0.745 0.372 0.117
Pa2 0.255 0.628 0.883
Mn1 0.000 0.000 0.000

***

5.
The following is a GGA-PBE calculation of a relaxed Sr2CeCrN4 crystal, from the Alexandria database.

Total DFT energy (no corrections) = -57.6 eV per formula unit
SG = Cmcm
Total moment = 4.0 Bohr magnetons per cell

Cell: 3.483 6.071 12.753 Å, 90.00 90.00 106.67°
Each line ends with the local moment (μB).
Fractional positions:
Ce1 0.908 0.815 0.250  0.90
Ce2 0.092 0.185 0.750  0.90
Sr1 0.365 0.730 0.959  0.00
Sr2 0.365 0.730 0.541  0.00
Sr3 0.635 0.270 0.459  0.00
Sr4 0.635 0.270 0.041  0.00
N1 0.402 0.803 0.750  -0.10
N2 0.000 0.000 0.000  -0.09
N3 0.282 0.564 0.351  -0.05
N4 0.718 0.436 0.851  -0.05
N5 0.282 0.564 0.149  -0.05
N6 0.000 0.000 0.500  -0.09
N7 0.598 0.197 0.250  -0.10
N8 0.718 0.436 0.649  -0.05
Cr1 0.180 0.360 0.250  1.13
Cr2 0.820 0.640 0.750  1.13

***

6.
The following is a GGA-PBE calculation of a relaxed TaMo crystal, from the Alexandria database.

SG = P-3m1
Total moment = 0.0 Bohr magnetons per cell
Formation energy from the elements = -0.11 eV per atom

Cell: 4.599 4.599 5.532 Å, 90.00 90.00 120.00°
Fractional positions:
Mo1 0.000 0.000 0.500
Mo2 0.333 0.667 0.666
Mo3 0.667 0.333 0.334
Ta1 0.000 0.000 0.000
Ta2 0.333 0.667 0.171
Ta3 0.667 0.333 0.829